# ReBSCl2

Crystalline ReBSCl2 at its relaxed geometry (GGA-PBEsol, the Alexandria database).

The structure in POSCAR format:
```
ReBSCl2
1.0
4.0450 0.0000 0.0000
0.0000 4.0450 0.0000
0.0000 0.0000 4.1419
Re B S Cl
1 1 1 2
Direct
0.0000 0.0000 0.0000
0.5000 0.5000 0.5000
0.5000 0.5000 0.0000
0.0000 0.5000 0.5000
0.5000 0.0000 0.5000
```

Properties
- density of states at the Fermi level (states/eV/atom) = 0.6735
- V (A^3/atom) = 13.554
- energy relative to the elements, uncorrected (eV per atom) = 1.274
- magnetic moment (μB per atom) = 0.000

***

# Y2NiMo

Crystalline Y2NiMo at its relaxed geometry (GGA-PBEsol, the Alexandria database).

The structure in POSCAR format:
```
Y2NiMo
1.0
3.1720 0.0000 0.0000
0.0000 3.1720 0.0000
0.0000 0.0000 8.2190
Y Ni Mo
2 1 1
Direct
0.0000 0.0000 0.0000
0.5000 0.5000 0.3731
0.0000 0.0000 0.6075
0.5000 0.5000 0.7477
```

Properties
- density of states at the Fermi level (states/eV/atom) = 1.3077
- formation energy (eV/atom) = 0.17
- V (A^3/atom) = 20.674
- energy above the most stable polymorph in this dataset (meV/atom) = 0.0
- magnetic moment (μB per atom) = 0.000

***

# Ba3RuO

Crystalline Ba3RuO at its relaxed geometry (GGA-PBEsol, the Alexandria database).

The structure in POSCAR format:
```
Ba3RuO
1.0
5.6472 0.0000 0.0000
0.0000 5.6472 0.0000
0.0000 0.0000 5.6472
Ba Ru O
3 1 1
Direct
0.0000 0.0000 0.5000
0.0000 0.5000 0.0000
0.5000 0.0000 0.0000
0.0000 0.0000 0.0000
0.5000 0.5000 0.5000
```

Properties
- density of states at the Fermi level (states/eV/atom) = 0.4717
- V (A^3/atom) = 36.019
- energy relative to the elements, uncorrected (eV per atom) = 0.185
- magnetic moment (μB per atom) = 0.000

***

# BeNi3F

Crystalline BeNi3F at its relaxed geometry (GGA-PBEsol, the Alexandria database).

The structure in POSCAR format:
```
BeNi3F
1.0
3.8682 0.0000 0.0000
0.0000 3.8682 0.0000
0.0000 0.0000 3.8682
Be Ni F
1 3 1
Direct
0.0000 0.0000 0.0000
0.0000 0.0000 0.5000
0.0000 0.5000 0.0000
0.5000 0.0000 0.0000
0.5000 0.5000 0.5000
```

Properties
- density of states at the Fermi level (states/eV/atom) = 1.9302
- V (A^3/atom) = 11.576
- energy relative to the elements, uncorrected (eV per atom) = 0.560
- magnetic moment (μB per atom) = 0.260

***

# AsPb2Au

Crystalline AsPb2Au at its relaxed geometry (GGA-PBEsol, the Alexandria database).

The structure in POSCAR format:
```
AsPb2Au
1.0
2.0175 1.1648 7.1687
-2.0175 1.1648 7.1687
0.0000 -2.3296 7.1687
As Pb Au
1 2 1
Direct
0.0000 0.0000 0.0000
0.5312 0.5312 0.5312
0.7505 0.7505 0.7505
0.2752 0.2752 0.2752
```

Properties
- density of states at the Fermi level (states/eV/atom) = 0.4662
- formation energy (eV/atom) = 0.04
- V (A^3/atom) = 25.268
- magnetic moment (μB per atom) = 0.000

***

# Li4Co3CuO8

Crystalline Li4Co3CuO8 at its relaxed geometry (GGA-PBEsol, the Alexandria database).

The structure in POSCAR format:
```
Li4Co3CuO8
1.0
2.8380 1.6385 4.6200
-2.8380 1.6385 4.6200
0.0000 -3.2771 4.6200
Li Co Cu O
4 3 1 8
Direct
0.0000 0.0000 0.0000
0.0000 0.5000 0.5000
0.5000 0.0000 0.5000
0.5000 0.5000 0.0000
0.0000 0.0000 0.5000
0.0000 0.5000 0.0000
0.5000 0.0000 0.0000
0.5000 0.5000 0.5000
0.2257 0.7481 0.7481
0.2381 0.2381 0.2381
0.2519 0.2519 0.7743
0.2519 0.7743 0.2519
0.7481 0.2257 0.7481
0.7481 0.7481 0.2257
0.7619 0.7619 0.7619
0.7743 0.2519 0.2519
```

Properties
- density of states at the Fermi level (states/eV/atom) = 0.2744
- V (A^3/atom) = 8.057
- energy relative to the elements, uncorrected (eV per atom) = -1.409
- magnetic moment (μB per atom) = 0.123

***

# K2Hg3

Crystalline K2Hg3 at its relaxed geometry (GGA-PBEsol, the Alexandria database).

The structure in POSCAR format:
```
K2Hg3
1.0
2.7789 1.6044 5.5852
-2.7789 1.6044 5.5852
0.0000 -3.2088 5.5852
K Hg
2 3
Direct
0.1023 0.1023 0.1023
0.8977 0.8977 0.8977
0.3240 0.3240 0.3240
0.5000 0.5000 0.5000
0.6760 0.6760 0.6760
```

Properties
- density of states at the Fermi level (states/eV/atom) = 0.5173
- formation energy (eV/atom) = -0.20
- V (A^3/atom) = 29.881
- magnetic moment (μB per atom) = 0.000

***

# CdP

Crystalline CdP at its relaxed geometry (GGA-PBEsol, the Alexandria database).

The structure in POSCAR format:
```
CdP
1.0
4.2964 0.0000 0.0000
0.0000 4.2964 0.0000
0.0000 0.0000 4.1154
Cd P
2 2
Direct
0.2500 0.7500 0.0000
0.7500 0.2500 0.0000
0.2500 0.2500 0.4108
0.7500 0.7500 0.5892
```

Properties
- density of states at the Fermi level (states/eV/atom) = 0.4964
- formation energy (eV/atom) = 0.40
- V (A^3/atom) = 18.991
- magnetic moment (μB per atom) = 0.000

***

# Sm3Sb4Pt7

Crystalline Sm3Sb4Pt7 at its relaxed geometry (GGA-PBEsol, the Alexandria database).

The structure in POSCAR format:
```
Sm3Sb4Pt7
1.0
8.2009 -2.1237 0.0000
8.2009 2.1237 0.0000
-6.5205 0.0000 8.0674
Sm Sb Pt
3 4 7
Direct
0.0000 0.0000 0.0000
0.3268 0.3268 0.3133
0.6732 0.6732 0.6867
0.1408 0.1408 0.4107
0.3289 0.3289 0.9757
0.6711 0.6711 0.0243
0.8592 0.8592 0.5893
0.0000 0.0000 0.5000
0.1224 0.1224 0.8432
0.3320 0.3320 0.7306
0.4837 0.4837 0.6724
0.5163 0.5163 0.3276
0.6680 0.6680 0.2694
0.8776 0.8776 0.1568
```

Properties
- density of states at the Fermi level (states/eV/atom) = 0.4656
- V (A^3/atom) = 20.072
- energy relative to the elements, uncorrected (eV per atom) = -0.894
- magnetic moment (μB per atom) = 0.000

***

# CoRuPb2

Crystalline CoRuPb2 at its relaxed geometry (GGA-PBEsol, the Alexandria database).

The structure in POSCAR format:
```
CoRuPb2
1.0
-1.5460 2.0944 5.6962
1.5460 -2.0944 5.6962
1.5460 2.0944 -5.6962
Co Ru Pb
1 1 2
Direct
0.0000 0.0000 0.0000
0.8108 0.3108 0.5000
0.2091 0.7091 0.5000
0.4746 0.4746 0.0000
```

Properties
- density of states at the Fermi level (states/eV/atom) = 1.0945
- formation energy (eV/atom) = 0.55
- V (A^3/atom) = 18.444
- energy above the most stable polymorph in this dataset (meV/atom) = 5.9
- magnetic moment (μB per atom) = 0.221

***

# HgAsN2F

Crystalline HgAsN2F at its relaxed geometry (GGA-PBEsol, the Alexandria database).

The structure in POSCAR format:
```
HgAsN2F
1.0
4.1624 0.0000 0.0000
0.0000 4.1624 0.0000
0.0000 0.0000 4.2152
Hg As N F
1 1 2 1
Direct
0.0000 0.0000 0.0000
0.5000 0.5000 0.5000
0.0000 0.5000 0.0000
0.5000 0.0000 0.0000
0.0000 0.0000 0.5000
```

Properties
- density of states at the Fermi level (states/eV/atom) = 0.4511
- V (A^3/atom) = 14.607
- energy relative to the elements, uncorrected (eV per atom) = 1.505
- magnetic moment (μB per atom) = 0.110

***

# LaZn2Ru2

Crystalline LaZn2Ru2 at its relaxed geometry (GGA-PBEsol, the Alexandria database).

The structure in POSCAR format:
```
LaZn2Ru2
1.0
-2.1412 2.1412 4.9702
2.1412 -2.1412 4.9702
2.1412 2.1412 -4.9702
La Zn Ru
1 2 2
Direct
0.0000 0.0000 0.0000
0.2500 0.7500 0.5000
0.7500 0.2500 0.5000
0.3850 0.3850 0.0000
0.6150 0.6150 0.0000
```

Properties
- density of states at the Fermi level (states/eV/atom) = 1.2856
- formation energy (eV/atom) = -0.05
- V (A^3/atom) = 18.230
- magnetic moment (μB per atom) = 0.000

***

# LiRh3

Crystalline LiRh3 at its relaxed geometry (GGA-PBEsol, the Alexandria database).

The structure in POSCAR format:
```
LiRh3
1.0
-1.8495 1.8495 3.7628
1.8495 -1.8495 3.7628
1.8495 1.8495 -3.7628
Li Rh
1 3
Direct
0.0000 0.0000 0.0000
0.2500 0.7500 0.5000
0.5000 0.5000 0.0000
0.7500 0.2500 0.5000
```

Properties
- density of states at the Fermi level (states/eV/atom) = 0.9467
- formation energy (eV/atom) = -0.03
- V (A^3/atom) = 12.871
- magnetic moment (μB per atom) = 0.000

***

# Sc2CdOs

Crystalline Sc2CdOs at its relaxed geometry (GGA-PBEsol, the Alexandria database).

The structure in POSCAR format:
```
Sc2CdOs
1.0
3.1942 0.0000 0.0000
0.0000 4.0806 0.0000
0.0000 0.0000 5.8182
Sc Cd Os
2 1 1
Direct
0.0000 0.0000 0.0000
0.5000 0.5000 0.3035
0.0000 0.0000 0.5385
0.5000 0.5000 0.8458
```

Properties
- density of states at the Fermi level (states/eV/atom) = 0.8924
- formation energy (eV/atom) = -0.03
- V (A^3/atom) = 18.959
- magnetic moment (μB per atom) = 0.000

***

# BeOsRu2

Crystalline BeOsRu2 at its relaxed geometry (GGA-PBEsol, the Alexandria database).

The structure in POSCAR format:
```
BeOsRu2
1.0
-1.3931 2.1205 4.1263
1.3931 -2.1205 4.1263
1.3931 2.1205 -4.1263
Be Os Ru
1 1 2
Direct
0.0000 0.0000 0.0000
0.2233 0.7233 0.5000
0.5010 0.5010 0.0000
0.7810 0.2810 0.5000
```

Properties
- density of states at the Fermi level (states/eV/atom) = 0.8390
- formation energy (eV/atom) = 0.01
- V (A^3/atom) = 12.189
- magnetic moment (μB per atom) = 0.000

***

# TiCuNi2

Crystalline TiCuNi2 at its relaxed geometry (GGA-PBEsol, the Alexandria database).

The structure in POSCAR format:
```
TiCuNi2
1.0
4.1684 0.0000 0.0000
0.0000 5.1023 0.0000
0.0000 0.0000 4.3731
Ti Cu Ni
2 2 4
Direct
0.2500 0.2500 0.1674
0.7500 0.7500 0.8326
0.2500 0.7500 0.1892
0.7500 0.2500 0.8108
0.2500 0.0010 0.6721
0.2500 0.4990 0.6721
0.7500 0.5010 0.3279
0.7500 0.9990 0.3279
```

Properties
- density of states at the Fermi level (states/eV/atom) = 0.5739
- formation energy (eV/atom) = -0.35
- V (A^3/atom) = 11.626
- magnetic moment (μB per atom) = 0.000

***

# TeAsSeN2

Crystalline TeAsSeN2 at its relaxed geometry (GGA-PBEsol, the Alexandria database).

The structure in POSCAR format:
```
TeAsSeN2
1.0
3.9048 0.0000 0.0000
0.0000 3.9048 0.0000
0.0000 0.0000 5.0761
Te As Se N
1 1 1 2
Direct
0.0000 0.0000 0.0000
0.5000 0.5000 0.5000
0.5000 0.5000 0.0000
0.0000 0.5000 0.5000
0.5000 0.0000 0.5000
```

Properties
- density of states at the Fermi level (states/eV/atom) = 0.5801
- V (A^3/atom) = 15.479
- energy relative to the elements, uncorrected (eV per atom) = 1.197
- energy above the most stable polymorph in this dataset (meV/atom) = 0.0
- magnetic moment (μB per atom) = 0.001

***

# ZnWAu2

Crystalline ZnWAu2 at its relaxed geometry (GGA-PBEsol, the Alexandria database).

The structure in POSCAR format:
```
ZnWAu2
1.0
4.8500 0.0000 0.0000
0.0000 4.8500 0.0000
0.0000 0.0000 2.7374
Zn W Au
1 1 2
Direct
0.0000 0.0000 0.0000
0.5000 0.5000 0.0000
0.0000 0.5000 0.5000
0.5000 0.0000 0.5000
```

Properties
- density of states at the Fermi level (states/eV/atom) = 0.7323
- formation energy (eV/atom) = 0.31
- V (A^3/atom) = 16.097
- magnetic moment (μB per atom) = 0.106

***

# MgAlRe2

Crystalline MgAlRe2 at its relaxed geometry (GGA-PBEsol, the Alexandria database).

The structure in POSCAR format:
```
MgAlRe2
1.0
1.4865 -2.3081 0.0000
1.4865 2.3081 0.0000
0.0000 0.0000 9.1121
Mg Al Re
1 1 2
Direct
0.0000 0.0000 0.0000
0.5000 0.5000 0.7276
0.0000 0.0000 0.4894
0.5000 0.5000 0.2564
```

Properties
- density of states at the Fermi level (states/eV/atom) = 0.6364
- formation energy (eV/atom) = 0.20
- V (A^3/atom) = 15.631
- energy above the most stable polymorph in this dataset (meV/atom) = 0.0
- magnetic moment (μB per atom) = 0.000

***

# Zr2Ge2Os

Crystalline Zr2Ge2Os at its relaxed geometry (GGA-PBEsol, the Alexandria database).

The structure in POSCAR format:
```
Zr2Ge2Os
1.0
6.4301 0.0000 0.0000
0.0000 6.4301 0.0000
0.0000 0.0000 4.1368
Zr Ge Os
4 4 2
Direct
0.1731 0.3269 0.0000
0.3269 0.8269 0.0000
0.6731 0.1731 0.0000
0.8269 0.6731 0.0000
0.1370 0.6370 0.5000
0.3630 0.1370 0.5000
0.6370 0.8630 0.5000
0.8630 0.3630 0.5000
0.0000 0.0000 0.5000
0.5000 0.5000 0.5000
```

Properties
- density of states at the Fermi level (states/eV/atom) = 0.3516
- formation energy (eV/atom) = -0.73
- V (A^3/atom) = 17.104
- magnetic moment (μB per atom) = 0.000